[1]
# RbBeV, relaxed, DFT GGA-PBE
# Crystal system: monoclinic
# Polymorph energy (0 for the lowest one): 485 meV/atom
data_RbBeV
_symmetry_space_group_name_H-M 'C 1 2 1'
_symmetry_Int_Tables_number 5
_symmetry_space_group_name_Hall 'C 2y'
_cell_length_a 8.362
_cell_length_b 10.886
_cell_length_c 4.323
_cell_angle_alpha 90.00
_cell_angle_beta 110.11
_cell_angle_gamma 90.00
loop_
_atom_site_label
_atom_site_fract_x
_atom_site_fract_y
_atom_site_fract_z
_atom_site_occupancy
Rb1 0.000 0.000 0.000 1
Rb2 0.000 0.347 0.500 1
Be1 0.123 0.612 0.205 1
V1 0.099 0.702 0.688 1

---

[2]
# RbBeV, relaxed, DFT GGA-PBE
# Crystal system: hexagonal
# Polymorph energy (0 for the lowest one): 863 meV/atom
data_RbBeV
_symmetry_space_group_name_H-M 'P -6 m 2'
_symmetry_Int_Tables_number 187
_symmetry_space_group_name_Hall 'P -6 2'
_cell_length_a 4.2195
_cell_length_b 4.2195
_cell_length_c 5.8234
_cell_angle_alpha 90.00
_cell_angle_beta 90.00
_cell_angle_gamma 120.00
loop_
_atom_site_label
_atom_site_fract_x
_atom_site_fract_y
_atom_site_fract_z
_atom_site_occupancy
Rb1 0.0000 0.0000 0.0000 1
Be1 0.3333 0.6667 0.5000 1
V1 0.6667 0.3333 0.5000 1

---

[3]
# Rb2BeV, relaxed, DFT GGA-PBE
# Crystal system: tetragonal
data_Rb2BeV
_symmetry_space_group_name_H-M 'I -4 2 d'
_symmetry_Int_Tables_number 122
_symmetry_space_group_name_Hall 'I -4 2bw'
_cell_length_a 12.928
_cell_length_b 12.928
_cell_length_c 4.793
_cell_angle_alpha 90.00
_cell_angle_beta 90.00
_cell_angle_gamma 90.00
loop_
_atom_site_label
_atom_site_fract_x
_atom_site_fract_y
_atom_site_fract_z
_atom_site_occupancy
Rb1 0.076 0.250 0.125 1
Be1 0.000 0.000 0.000 1
V1 0.000 0.000 0.500 1

---

[4]
# RbBeV, relaxed, DFT GGA-PBE
# Crystal system: cubic
# Polymorph energy (0 for the lowest one): 1268 meV/atom
data_RbBeV
_symmetry_space_group_name_H-M 'F -4 3 m'
_symmetry_Int_Tables_number 216
_symmetry_space_group_name_Hall 'F -4 2 3'
_cell_length_a 7.083
_cell_length_b 7.083
_cell_length_c 7.083
_cell_angle_alpha 90.00
_cell_angle_beta 90.00
_cell_angle_gamma 90.00
loop_
_atom_site_label
_atom_site_fract_x
_atom_site_fract_y
_atom_site_fract_z
_atom_site_occupancy
Rb1 0.000 0.000 0.000 1
Be1 0.250 0.250 0.250 1
V1 0.000 0.000 0.500 1

---

[5]
# RbBeV, relaxed, DFT GGA-PBE
# Crystal system: triclinic
# Polymorph energy (0 for the lowest one): 52 meV/atom
data_RbBeV
_symmetry_space_group_name_H-M 'P 1'
_symmetry_Int_Tables_number 1
_symmetry_space_group_name_Hall 'P 1'
_cell_length_a 4.045
_cell_length_b 4.047
_cell_length_c 11.856
_cell_angle_alpha 93.03
_cell_angle_beta 96.40
_cell_angle_gamma 119.95
loop_
_atom_site_label
_atom_site_fract_x
_atom_site_fract_y
_atom_site_fract_z
_atom_site_occupancy
Rb1 0.000 0.000 0.000 1
Rb2 0.328 0.260 0.611 1
Be1 0.785 0.430 0.220 1
Be2 0.878 0.503 0.392 1
V1 0.165 0.133 0.306 1
V2 0.499 0.801 0.306 1

---

[6]
# RbBeV, relaxed, DFT GGA-PBE
# Crystal system: monoclinic
# Polymorph energy (0 for the lowest one): 480 meV/atom
data_RbBeV
_symmetry_space_group_name_H-M 'P 1 m 1'
_symmetry_Int_Tables_number 6
_symmetry_space_group_name_Hall 'P -2y'
_cell_length_a 7.231
_cell_length_b 3.921
_cell_length_c 7.360
_cell_angle_alpha 90.00
_cell_angle_beta 119.39
_cell_angle_gamma 90.00
loop_
_atom_site_label
_atom_site_fract_x
_atom_site_fract_y
_atom_site_fract_z
_atom_site_occupancy
Rb1 0.000 0.000 0.000 1
Rb2 0.334 0.000 0.662 1
Be1 0.559 0.500 0.093 1
Be2 0.626 0.000 0.239 1
V1 0.580 0.500 0.416 1
V2 0.841 0.500 0.428 1

---

[7]
# RbZr2BeV, relaxed, DFT GGA-PBE
# Crystal system: tetragonal
data_RbZr2BeV
_symmetry_space_group_name_H-M 'P 4/m m m'
_symmetry_Int_Tables_number 123
_symmetry_space_group_name_Hall '-P 4 2'
_cell_length_a 4.925
_cell_length_b 4.925
_cell_length_c 5.656
_cell_angle_alpha 90.00
_cell_angle_beta 90.00
_cell_angle_gamma 90.00
loop_
_atom_site_label
_atom_site_fract_x
_atom_site_fract_y
_atom_site_fract_z
_atom_site_occupancy
Rb1 0.000 0.000 0.000 1
Zr1 0.000 0.500 0.500 1
Be1 0.500 0.500 0.000 1
V1 0.000 0.000 0.500 1

---

[8]
# RbBe3W, relaxed, DFT GGA-PBE
# Crystal system: cubic
# Polymorph energy (0 for the lowest one): 0 meV/atom
data_RbBe3W
_symmetry_space_group_name_H-M 'P m -3 m'
_symmetry_Int_Tables_number 221
_symmetry_space_group_name_Hall '-P 4 2 3'
_cell_length_a 4.730
_cell_length_b 4.730
_cell_length_c 4.730
_cell_angle_alpha 90.00
_cell_angle_beta 90.00
_cell_angle_gamma 90.00
loop_
_atom_site_label
_atom_site_fract_x
_atom_site_fract_y
_atom_site_fract_z
_atom_site_occupancy
Rb1 0.000 0.000 0.000 1
Be1 0.000 0.500 0.500 1
W1 0.500 0.500 0.500 1

---

[9]
# RbBe2W, relaxed, DFT GGA-PBE
# Crystal system: tetragonal
# Polymorph energy (0 for the lowest one): 0 meV/atom
data_RbBe2W
_symmetry_space_group_name_H-M 'I 41/a m d'
_symmetry_Int_Tables_number 141
_cell_length_a 4.981
_cell_length_b 4.981
_cell_length_c 16.333
_cell_angle_alpha 90.00
_cell_angle_beta 90.00
_cell_angle_gamma 90.00
loop_
_symmetry_equiv_pos_as_xyz
'x,y,z'
'-x,-y,-z'
'-y+1/4,x+3/4,z+1/4'
'y+1/4,-x+3/4,-z+1/4'
'-x+1/2,-y,z+1/2'
'x+1/2,y,-z+1/2'
'y+1/4,-x+1/4,z+3/4'
'-y+1/4,x+1/4,-z+3/4'
'x,-y,-z'
'-x,y,z'
'-y+1/4,-x+1/4,-z+3/4'
'y+1/4,x+1/4,z+3/4'
'-x+1/2,y,-z+1/2'
'x+1/2,-y,z+1/2'
'y+1/4,x+3/4,-z+1/4'
'-y+1/4,-x+3/4,z+1/4'
'x+1/2,y+1/2,z+1/2'
'-x+1/2,-y+1/2,-z+1/2'
'-y+3/4,x+1/4,z+3/4'
'y+3/4,-x+1/4,-z+3/4'
'-x,-y+1/2,z'
'x,y+1/2,-z'
'y+3/4,-x+3/4,z+1/4'
'-y+3/4,x+3/4,-z+1/4'
'x+1/2,-y+1/2,-z+1/2'
'-x+1/2,y+1/2,z+1/2'
'-y+3/4,-x+3/4,-z+1/4'
'y+3/4,x+3/4,z+1/4'
'-x,y+1/2,-z'
'x,-y+1/2,z'
'y+3/4,x+1/4,-z+3/4'
'-y+3/4,-x+1/4,z+3/4'
loop_
_atom_site_label
_atom_site_fract_x
_atom_site_fract_y
_atom_site_fract_z
_atom_site_occupancy
Rb1 0.000 0.250 0.375 1
Be1 0.000 0.000 0.000 1
W1 0.000 0.250 0.875 1

---

[10]
# RbBeW2, relaxed, DFT GGA-PBE
# Crystal system: tetragonal
data_RbBeW2
_symmetry_space_group_name_H-M 'I -4 2 d'
_symmetry_Int_Tables_number 122
_symmetry_space_group_name_Hall 'I -4 2bw'
_cell_length_a 4.554
_cell_length_b 4.554
_cell_length_c 18.346
_cell_angle_alpha 90.00
_cell_angle_beta 90.00
_cell_angle_gamma 90.00
loop_
_atom_site_label
_atom_site_fract_x
_atom_site_fract_y
_atom_site_fract_z
_atom_site_occupancy
Rb1 0.000 0.000 0.000 1
Be1 0.000 0.000 0.500 1
W1 0.094 0.750 0.625 1

---

[11]
# RbBe2W, relaxed, DFT GGA-PBE
# Crystal system: cubic
# Polymorph energy (0 for the lowest one): 298 meV/atom
data_RbBe2W
_symmetry_space_group_name_H-M 'F m -3 m'
_symmetry_Int_Tables_number 225
_symmetry_space_group_name_Hall '-F 4 2 3'
_cell_length_a 6.654
_cell_length_b 6.654
_cell_length_c 6.654
_cell_angle_alpha 90.00
_cell_angle_beta 90.00
_cell_angle_gamma 90.00
loop_
_atom_site_label
_atom_site_fract_x
_atom_site_fract_y
_atom_site_fract_z
_atom_site_occupancy
Rb1 0.000 0.000 0.000 1
Be1 0.250 0.250 0.250 1
W1 0.000 0.000 0.500 1

---

[12]
# RbBe3W, relaxed, DFT GGA-PBE
# Crystal system: cubic
# Polymorph energy (0 for the lowest one): 1610 meV/atom
data_RbBe3W
_symmetry_space_group_name_H-M 'P m -3 m'
_symmetry_Int_Tables_number 221
_symmetry_space_group_name_Hall '-P 4 2 3'
_cell_length_a 4.329
_cell_length_b 4.329
_cell_length_c 4.329
_cell_angle_alpha 90.00
_cell_angle_beta 90.00
_cell_angle_gamma 90.00
loop_
_atom_site_label
_atom_site_fract_x
_atom_site_fract_y
_atom_site_fract_z
_atom_site_occupancy
Rb1 0.000 0.000 0.000 1
Be1 0.000 0.000 0.500 1
W1 0.500 0.500 0.500 1

---

no.,VASP energy (eV per cell),formation energy from the elements (kJ/mol of atoms)
1,-43.8,92.1
2,-9.8,128.6
3,-40.3,113.2
4,-34.4,167.6
5,-24.5,50.3
6,-21.9,91.6
7,-23.1,150.1
8,-18.1,134.1
9,-59.5,156.4
10,-90.2,194.0
11,-54.8,185.2
12,-10.1,289.5